1.
Density functional theory data (PBE) for a relaxed AlGePd crystal.

Energy of formation ... -1.0 eV/f.u.
Magnetization ... 0.000 μB per atom

a = 3.033 Å, b = 3.033 Å, c = 12.142 Å
α = 90.00°, β = 90.00°, γ = 120.00°
Element x y z (fractional)
1 Al 0.000 0.000 0.158
2 Al 0.000 0.000 0.842
3 Ge 0.667 0.333 0.336
4 Ge 0.667 0.333 0.664
5 Pd 0.333 0.667 0.000
6 Pd 0.333 0.667 0.500

---

2.
Density functional theory data (PBE) for a relaxed Tb2SO crystal.

Energy relative to the elements, uncorrected ... -2.435 eV/atom
Magnetization ... 0.000 μB per atom

a = 3.923 Å, b = 3.923 Å, c = 10.945 Å
α = 90.00°, β = 90.00°, γ = 90.00°
Element x y z (fractional)
1 Tb 0.250 0.250 0.101
2 Tb 0.250 0.250 0.612
3 Tb 0.750 0.750 0.388
4 Tb 0.750 0.750 0.899
5 S 0.250 0.250 0.363
6 S 0.750 0.750 0.637
7 O 0.250 0.750 0.000
8 O 0.750 0.250 0.000

---

3.
Density functional theory data (PBE) for a relaxed ZrMo crystal.

Energy of formation ... 0.2 eV/f.u.
Magnetization ... 0.000 μB per atom

a = 2.989 Å, b = 2.989 Å, c = 4.504 Å
α = 90.00°, β = 90.00°, γ = 111.98°
Element x y z (fractional)
1 Zr 0.000 0.000 0.000
2 Mo 0.500 0.500 0.500